Below is a relaxed structure of CsCdCoF6, with properties calculated at the GGA+U level.

Summary:
* magnetization: 0.2 μB/cell
* total DFT energy (no corrections): -4.2223 eV/atom

a b c (Å): 7.716 7.463 7.408
angles (deg): 120.24 121.39 90.00
Last column: magnetic moment on the atom in μB.
Sites, in units of the cell vectors:
Co 0.500 0.000 0.000  0.06
F 0.201 0.860 0.743  0.01
F 0.799 0.617 0.257  0.01
F 0.465 0.215 0.930  0.00
Cs 0.855 0.605 0.709  0.00
F 0.799 0.140 0.257  0.01
Cd 0.000 0.000 0.500  0.00
Cd 0.500 0.000 0.500  0.00
F 0.851 0.101 0.703  0.00
F 0.149 0.899 0.297  0.00
F 0.458 0.140 0.257  0.01
Co 0.500 0.500 0.000  0.06
F 0.201 0.383 0.743  0.01
F 0.542 0.383 0.743  0.01
Cs 0.145 0.395 0.291  0.00
F 0.535 0.785 0.070  0.00
F 0.458 0.617 0.257  0.01
F 0.542 0.860 0.743  0.01